Computed, not measured: crystalline ZrB3Ir at its relaxed geometry at the PBEsol level of DFT.

Cell lengths 4.0908, 4.0908, 4.0908 Å; angles 90.00, 90.00, 90.00 degrees
With the nearest neighbours (Å) after each atom.
Element x y z (fractional)
Zr 0.0000 0.0000 0.0000  6 B 2.05
B 0.0000 0.0000 0.5000  2 Zr 2.05
B 0.0000 0.5000 0.0000  2 Zr 2.05
B 0.5000 0.0000 0.0000  2 Zr 2.05
Ir 0.5000 0.5000 0.5000  12 B 2.89

Output
Volume = 68.5 Å³/f.u.
DFT formation energy = 213.6 kJ/mol of atoms
Crystal system = cubic
Spin magnetization = 0.000 μB/atom

Computed, not measured: crystalline Y12Ni6P at its relaxed geometry at the PBEsol level of DFT.

Cell lengths 8.2275, 8.2275, 8.2275 Å; angles 109.47, 109.47, 109.47 degrees
With the nearest neighbours (Å) after each atom.
Element x y z (fractional)
Y 0.1144 0.8128 0.3015  3 Ni 2.59-2.85
Y 0.1872 0.3015 0.4887  3 Ni 2.59-2.85
Y 0.1872 0.6985 0.8856  3 Ni 2.59-2.85
Y 0.3015 0.1144 0.8128  3 Ni 2.59-2.85
Y 0.3015 0.4887 0.1872  3 Ni 2.59-2.85
Y 0.4887 0.1872 0.3015  3 Ni 2.59-2.85
Y 0.5113 0.8128 0.6985  3 Ni 2.59-2.85
Y 0.6985 0.5113 0.8128  3 Ni 2.59-2.85
Y 0.6985 0.8856 0.1872  3 Ni 2.59-2.85
Y 0.8128 0.3015 0.1144  3 Ni 2.59-2.85
Y 0.8128 0.6985 0.5113  3 Ni 2.59-2.85
Y 0.8856 0.1872 0.6985  3 Ni 2.59-2.85
Ni 0.1255 0.6255 0.5000  1 Ni 2.38, 2 Y 2.59
Ni 0.3745 0.5000 0.8745  1 Ni 2.38, 2 Y 2.59
Ni 0.5000 0.1255 0.6255  1 Ni 2.38, 2 Y 2.59
Ni 0.5000 0.8745 0.3745  1 Ni 2.38, 2 Y 2.59
Ni 0.6255 0.5000 0.1255  1 Ni 2.38, 2 Y 2.59
Ni 0.8745 0.3745 0.5000  1 Ni 2.38, 2 Y 2.59
P 0.0000 0.0000 0.0000  12 Y 3.37

Output
Volume = 428.7 Å³/f.u.
DFT formation energy = -36.8 kJ/mol of atoms
Crystal system = cubic
Spin magnetization = 0.000 μB/atom